## Li2SiSb2 (PBE)

Data for a geometry-optimized Li2SiSb2 structure.

Cell and atoms, written as extended XYZ:
```
10
Lattice="8.3122 0.0000 0.0000 0.0000 8.3122 0.0000 0.0000 0.0000 3.0054" Properties=species:S:1:pos:R:3 pbc="T T T"
Li 0.9476 3.2085 0.0000
Li 3.2085 7.3646 0.0000
Li 5.1036 0.9476 0.0000
Li 7.3646 5.1036 0.0000
Si 0.0000 0.0000 1.5027
Si 4.1561 4.1561 1.5027
Sb 1.5355 5.6916 1.5027
Sb 2.6206 1.5355 1.5027
Sb 5.6916 6.7767 1.5027
Sb 6.7767 2.6206 1.5027
```

Computed properties:
As for the crystal system: tetragonal. The value obtained for the calculated volume is 207.65 Å³ per cell. The value obtained for the magnetization is 0.0 μB per cell. The value obtained for the total energy is -3.59 eV/atom. Its space-group type is P4/mbm. The calculation puts the formation energy (no corrections) at -0.472 eV per formula unit. As for the mass density: 4.566 g/cm³.